A plane-wave DFT calculation with PBE was carried out for a geometry-optimized LiBeV structure.

Results
* total DFT energy (no corrections): -4.750 eV/atom
* ΔE_f: 169 meV/atom
* M_tot: 0.0000 μB per atom

Structure (CIF):
```
data_LiBeV
_chemical_formula_sum 'Li4 Be4 V4'
_cell_length_a 4.029
_cell_length_b 12.662
_cell_length_c 2.949
_cell_angle_alpha 90.00
_cell_angle_beta 90.00
_cell_angle_gamma 90.00
_space_group_name_H-M_alt 'C m c m'
_space_group_IT_number 63
_space_group_name_Hall '-C 2c 2'
loop_
_atom_site_label
_atom_site_type_symbol
_atom_site_fract_x
_atom_site_fract_y
_atom_site_fract_z
Li1 Li 0.000 0.225 0.250
Be1 Be 0.000 0.060 0.750
V1 V 0.000 0.430 0.750
```